5
Lattice="5.287 0.000 0.000 0.000 5.287 0.000 0.000 0.000 5.287" Properties=species:S:1:pos:R:3 comment="InSn3Pt PBE optimized geometry" crystal_system=cubic spacegroup="No. 221" polymorph_energy_ev_per_fu=0.00 magmom_total_mub_per_atom=0.00 pbc="T T T"
In 0.000 0.000 0.000
Sn 0.000 2.644 2.644
Sn 2.644 0.000 2.644
Sn 2.644 2.644 0.000
Pt 2.644 2.644 2.644